No. 1
Lu4CuIr2Pd after structural relaxation, computed with PBE-GGA.

Unit cell a=4.786 b=4.786 c=6.756 alpha=90.00 beta=90.00 gamma=90.00
Fractional positions:
Lu 0.000 0.500 0.249
Lu 0.000 0.500 0.751
Lu 0.500 0.000 0.249
Lu 0.500 0.000 0.751
Cu 0.000 0.000 0.000
Ir 0.000 0.000 0.500
Ir 0.500 0.500 0.000
Pd 0.500 0.500 0.500

Results
- Theoretical density: 13460 kg/m3
- Energy of formation: -0.86 eV/atom

=====

No. 2
LuCuSnIr after structural relaxation, computed with PBE-GGA.

Unit cell a=4.702 b=4.702 c=4.702 alpha=60.00 beta=60.00 gamma=60.00
Fractional positions:
Lu 0.000 0.000 0.000
Cu 0.500 0.500 0.500
Sn 0.250 0.250 0.250
Ir 0.750 0.750 0.750

Results
- Relative energy among the computed polymorphs: 318 meV per atom
- Theoretical density: 12414 kg/m3